Entry from Alexandria: OsPbWO6 after structural relaxation (GGA+U).

abc: 7.3758 7.3758 7.3758
angles: 121.42 120.43 88.41
Closest atoms and distances in Å follow each position.
Element x y z (fractional)
Os 0.5000 0.0000 0.0000  6 O 1.95-1.98
Os 0.5000 0.5000 0.5000  6 O 1.95-1.98
Pb 0.2149 0.4649 0.7500  1 O 2.26
Pb 0.7851 0.5351 0.2500  1 O 2.26
W 0.0000 0.0000 0.0000  6 O 1.94-1.95
W 0.5000 0.0000 0.5000  6 O 1.94-1.95
O 0.1839 0.3133 0.2601  1 W 1.94, 1 Os 1.98
O 0.1839 0.9238 0.8706  1 W 1.94, 1 Os 1.98
O 0.1860 0.9360 0.2500  2 W 1.95
O 0.4290 0.6790 0.7500  2 Os 1.95
O 0.4468 0.0762 0.7601  1 W 1.94, 1 Os 1.98
O 0.4468 0.6867 0.3706  1 W 1.94, 1 Os 1.98
O 0.5532 0.3133 0.6294  1 W 1.94, 1 Os 1.98
O 0.5532 0.9238 0.2399  1 W 1.94, 1 Os 1.98
O 0.5710 0.3210 0.2500  2 Os 1.95
O 0.8140 0.0640 0.7500  2 W 1.95
O 0.8161 0.0762 0.1294  1 W 1.94, 1 Os 1.98
O 0.8161 0.6867 0.7399  1 W 1.94, 1 Os 1.98

energy = -7.10 eV/atom
ρ = 8.04 Mg/m³
magnetization = 1.6 μB per formula unit